## LaCe2Tl6 (PBE)

Data for a relaxed structure of LaCe2Tl6.

Summary:
- Mass density: 9.82 g/cm³
- VASP energy: -3.54 eV per atom
- Formation energy: -94 meV/atom

Unit cell a=4.6347 b=7.9182 c=8.5532 alpha=117.57 beta=90.15 gamma=90.00
Fractional positions:
Tl: 0.0006 0.8453 0.3005
Tl: 0.9994 0.5448 0.6995
Tl: 0.0006 0.4552 0.3005
Tl: 0.9994 0.1547 0.6995
Tl: 0.5000 0.3082 0.0000
Tl: 0.5000 0.6918 0.0000
Ce: 0.5000 0.7919 0.5839
Ce: 0.5000 0.2081 0.4161
La: 0.0000 0.0000 0.0000

---

## KBaRh2 (PBE)

Data for a relaxed structure of KBaRh2.

Summary:
- Mass density: 4.34 g/cm³
- VASP energy: -4.32 eV per atom
- Formation energy: 111 meV/atom

Unit cell a=4.3033 b=4.3033 c=9.2601 alpha=76.50 beta=76.50 gamma=62.54
Fractional positions:
K: 0.7143 0.7143 0.8662
Ba: 0.5409 0.5409 0.3689
Rh: 0.9451 0.9451 0.1325
Rh: 0.2998 0.2998 0.1324

---

## TbSc2InN (PBE)

Data for a relaxed structure of TbSc2InN.

Summary:
- Mass density: 6.39 g/cm³
- Energy relative to the elements, uncorrected: -1.05 eV per atom
- VASP energy: -6.72 eV per atom

Unit cell a=4.7945 b=4.5237 c=4.5237 alpha=90.00 beta=90.00 gamma=90.00
Fractional positions:
Tb: 0.5000 0.0000 0.0000
Sc: 0.0000 0.0000 0.5000
Sc: 0.0000 0.5000 0.0000
N: 0.0000 0.0000 0.0000
In: 0.5000 0.5000 0.5000

---

## KNa2LiIn (PBE)

Data for a relaxed structure of KNa2LiIn.

Summary:
- Mass density: 1.95 g/cm³
- VASP energy: -1.63 eV per atom
- Formation energy: 47 meV/atom

Unit cell a=5.7174 b=5.7174 c=5.3992 alpha=90.00 beta=90.00 gamma=90.00
Fractional positions:
Li: 0.0000 0.0000 0.0000
Na: 0.0000 0.5000 0.0000
Na: 0.5000 0.0000 0.0000
In: 0.0000 0.0000 0.5000
K: 0.5000 0.5000 0.5000

---

## Tb4CdIn2Rh (PBE)

Data for a relaxed structure of Tb4CdIn2Rh.

Summary:
- Mass density: 8.92 g/cm³
- VASP energy: -4.54 eV per atom
- Formation energy: -508 meV/atom

Unit cell a=5.2461 b=5.2461 c=8.9700 alpha=73.00 beta=73.00 gamma=60.00
Fractional positions:
In: 0.7431 0.7431 0.7708
In: 0.2569 0.2569 0.2292
Tb: 0.8687 0.8687 0.3939
Tb: 0.1313 0.1313 0.6061
Tb: 0.6149 0.6149 0.1552
Tb: 0.3851 0.3851 0.8448
Cd: 0.0000 0.0000 0.0000
Rh: 0.5000 0.5000 0.5000

---

## MgMnNbPb2 (PBE)

Data for a relaxed structure of MgMnNbPb2.

Summary:
- Mass density: 7.91 g/cm³
- VASP energy: -4.59 eV per atom
- Formation energy: 1063 meV/atom

Unit cell a=5.0646 b=4.7988 c=5.0646 alpha=90.00 beta=90.00 gamma=90.00
Fractional positions:
Pb: 0.5000 0.0000 0.0000
Pb: 0.0000 0.0000 0.5000
Mn: 0.0000 0.0000 0.0000
Mg: 0.0000 0.5000 0.0000
Nb: 0.5000 0.5000 0.5000

---

## Mn2MoPtC (PBE)

Data for a relaxed structure of Mn2MoPtC.

Summary:
- Mass density: 7.44 g/cm³
- VASP energy: -7.55 eV per atom
- Formation energy: 1340 meV/atom

Unit cell a=4.9657 b=3.7376 c=4.9657 alpha=90.00 beta=90.00 gamma=90.00
Fractional positions:
C: 0.0000 0.5000 0.0000
Mn: 0.5000 0.0000 0.0000
Mn: 0.0000 0.0000 0.5000
Mo: 0.5000 0.5000 0.5000
Pt: 0.0000 0.0000 0.0000

---

## K2OsPt3O12 (PBE)

Data for a relaxed structure of K2OsPt3O12.

Summary:
- Mass density: 6.59 g/cm³
- Energy relative to the elements, uncorrected: -0.78 eV per atom
- VASP energy: -5.84 eV per atom

Unit cell a=7.2563 b=7.2563 c=7.2563 alpha=58.93 beta=58.93 gamma=58.93
Fractional positions:
O: 0.9321 0.9321 0.3112
O: 0.6662 0.0723 0.6662
O: 0.9277 0.3338 0.3338
O: 0.3338 0.9277 0.3338
O: 0.9321 0.3112 0.9321
O: 0.0723 0.6662 0.6662
O: 0.6888 0.0679 0.0679
O: 0.0679 0.6888 0.0679
O: 0.0679 0.0679 0.6888
O: 0.3338 0.3338 0.9277
O: 0.6662 0.6662 0.0723
O: 0.3112 0.9321 0.9321
Pt: 0.0000 0.5000 0.0000
Pt: 0.5000 0.0000 0.0000
Pt: 0.0000 0.0000 0.5000
K: 0.3754 0.3754 0.3754
K: 0.6246 0.6246 0.6246
Os: 0.0000 0.0000 0.0000